Entry 1:
Density functional theory data (PBE-GGA) for a geometry-optimized NaSi2Sn2 structure.

## Properties
Energy above the lowest structure with this stoichiometry = 9.3 kJ/mol of atoms
Symmetry = No. 139
Formation energy without anion corrections = 0.21 eV per atom

abc: 4.0200 4.0200 8.4514
angles: 76.24 76.24 90.00
Fractional coordinates of all 5 atoms:
Sn: 0.3725 0.3725 0.2549
Sn: 0.6275 0.6275 0.7451
Si: 0.2500 0.7500 0.5000
Si: 0.7500 0.2500 0.5000
Na: 0.0000 0.0000 0.0000

=====

Entry 2:
Density functional theory data (PBE-GGA) for a geometry-optimized KNaBr2 structure.

## Properties
Energy above the lowest structure with this stoichiometry = 5.7 kJ/mol of atoms
Symmetry = No. 122
Formation energy without anion corrections = -1.58 eV per atom

abc: 7.9460 7.9460 7.3212
angles: 57.13 57.13 90.00
Fractional coordinates of all 8 atoms:
Br: 0.3750 0.4120 0.7500
Br: 0.8750 0.8380 0.7500
Br: 0.1620 0.6250 0.2500
Br: 0.5880 0.1250 0.2500
K: 0.7500 0.2500 0.5000
K: 0.0000 0.0000 0.0000
Na: 0.2500 0.7500 0.5000
Na: 0.5000 0.5000 0.0000

=====

Entry 3:
Density functional theory data (PBE-GGA) for a geometry-optimized Rb2CaNbCd structure.

## Properties
Symmetry = No. 123
Calculated formation energy = 1.076 eV per atom

abc: 6.8715 5.7313 6.8715
angles: 90.00 90.00 90.00
Fractional coordinates of all 5 atoms:
Rb: 0.5000 0.0000 0.0000
Rb: 0.0000 0.0000 0.5000
Ca: 0.5000 0.5000 0.5000
Nb: 0.0000 0.0000 0.0000
Cd: 0.0000 0.5000 0.0000

=====

Entry 4:
Density functional theory data (PBE-GGA) for a geometry-optimized Pr3Si2Ge3 structure.

## Properties
Symmetry = No. 63
Formation energy without anion corrections = -0.64 eV per atom

abc: 4.1428 5.9690 16.1960
angles: 90.00 90.00 110.31
Fractional coordinates of all 16 atoms:
Si: 0.8405 0.6810 0.8733
Si: 0.1595 0.3190 0.1267
Si: 0.8405 0.6810 0.6267
Si: 0.1595 0.3190 0.3733
Pr: 0.1369 0.2738 0.5884
Pr: 0.8631 0.7262 0.4116
Pr: 0.1369 0.2738 0.9116
Pr: 0.8631 0.7262 0.0884
Pr: 0.4241 0.8482 0.7500
Pr: 0.5759 0.1518 0.2500
Ge: 0.3005 0.6010 0.2500
Ge: 0.5812 0.1623 0.4425
Ge: 0.5812 0.1623 0.0575
Ge: 0.6995 0.3990 0.7500
Ge: 0.4188 0.8377 0.5575
Ge: 0.4188 0.8377 0.9425

=====

Entry 5:
Density functional theory data (PBE-GGA) for a geometry-optimized Hg2PRh structure.

## Properties
Symmetry = No. 99
Calculated formation energy = -0.076 eV per atom

abc: 2.9695 2.9695 9.1383
angles: 90.00 90.00 90.00
Fractional coordinates of all 4 atoms:
P: 0.0000 0.0000 0.5732
Hg: 0.0000 0.0000 0.9562
Hg: 0.5000 0.5000 0.2660
Rh: 0.5000 0.5000 0.7046

=====

Entry 6:
Density functional theory data (PBE-GGA) for a geometry-optimized Cs2NiBr5 structure.

## Properties
Symmetry = No. 107
Formation energy without anion corrections = -1.06 eV per atom

abc: 7.5824 7.5824 7.5824
angles: 93.53 117.98 117.98
Fractional coordinates of all 8 atoms:
Br: 0.0000 0.7758 0.2047
Br: 0.5711 0.7758 0.7758
Br: 0.4289 0.2047 0.2047
Br: 0.0000 0.2576 0.2576
Br: 0.0000 0.2047 0.7758
Cs: 0.5000 0.2419 0.7419
Cs: 0.5000 0.7419 0.2419
Ni: 0.0000 0.0197 0.0197

=====

Entry 7:
Density functional theory data (PBE-GGA) for a geometry-optimized LiPd2Au2 structure.

## Properties
Energy above the lowest structure with this stoichiometry = 3.6 kJ/mol of atoms
Symmetry = No. 14
Calculated formation energy = -0.137 eV per atom

abc: 5.4373 7.6406 7.9925
angles: 90.00 89.89 90.00
Fractional coordinates of all 20 atoms:
Pd: 0.0179 0.6985 0.8916
Pd: 0.9821 0.3015 0.1084
Pd: 0.5320 0.7841 0.3675
Pd: 0.9680 0.2841 0.6325
Pd: 0.4821 0.1985 0.1084
Pd: 0.5179 0.8015 0.8916
Pd: 0.4680 0.2159 0.6325
Pd: 0.0320 0.7159 0.3675
Li: 0.7012 0.1054 0.3770
Li: 0.7988 0.6054 0.6230
Li: 0.2988 0.8946 0.6230
Li: 0.2012 0.3946 0.3770
Au: 0.1605 0.0651 0.8790
Au: 0.3395 0.5651 0.1210
Au: 0.8145 0.9353 0.6399
Au: 0.8395 0.9349 0.1210
Au: 0.6855 0.4353 0.3601
Au: 0.6605 0.4349 0.8790
Au: 0.3145 0.5647 0.6399
Au: 0.1855 0.0647 0.3601

=====

Entry 8:
Density functional theory data (PBE-GGA) for a geometry-optimized KTaBr structure.

## Properties
Energy above the lowest structure with this stoichiometry = 59.6 kJ/mol of atoms
Symmetry = No. 187
Formation energy without anion corrections = 1.03 eV per atom

abc: 5.3253 5.3253 3.3226
angles: 90.00 90.00 120.00
Fractional coordinates of all 3 atoms:
Br: 0.0000 0.0000 0.8334
K: 0.6667 0.3333 0.3334
Ta: 0.3333 0.6667 0.8332

=====

Entry 9:
Density functional theory data (PBE-GGA) for a geometry-optimized Th2Zn2Co3 structure.

## Properties
Symmetry = No. 12
Calculated formation energy = -0.144 eV per atom

abc: 3.9601 6.8608 9.8982
angles: 92.64 78.46 73.23
Fractional coordinates of all 14 atoms:
Co: 0.6855 0.1273 0.5016
Co: 0.8712 0.1549 0.1027
Co: 0.1768 0.4623 0.1842
Co: 0.1288 0.8451 0.8973
Co: 0.8232 0.5377 0.8158
Co: 0.3145 0.8727 0.4984
Th: 0.2631 0.1581 0.3156
Th: 0.7369 0.8419 0.6844
Th: 0.4003 0.2695 0.9299
Th: 0.5997 0.7305 0.0701
Zn: 0.4449 0.4742 0.6360
Zn: 0.0635 0.2206 0.6524
Zn: 0.5551 0.5258 0.3640
Zn: 0.9365 0.7794 0.3476

=====

Entry 10:
Density functional theory data (PBE-GGA) for a geometry-optimized Li4AcTl5 structure.

## Properties
Symmetry = No. 123
Calculated formation energy = -0.232 eV per atom

abc: 3.6541 3.6541 18.0333
angles: 90.00 90.00 90.00
Fractional coordinates of all 10 atoms:
Li: 0.0000 0.0000 0.5937
Li: 0.0000 0.0000 0.7769
Li: 0.0000 0.0000 0.2231
Li: 0.0000 0.0000 0.4063
Tl: 0.5000 0.5000 0.5000
Tl: 0.5000 0.5000 0.1346
Tl: 0.5000 0.5000 0.8654
Tl: 0.5000 0.5000 0.6857
Tl: 0.5000 0.5000 0.3143
Ac: 0.0000 0.0000 0.0000

=====

Entry 11:
Density functional theory data (PBE-GGA) for a geometry-optimized DyAl11Cu structure.

## Properties
Symmetry = No. 12
Calculated formation energy = -0.108 eV per atom

abc: 5.2300 7.1612 6.8242
angles: 83.06 67.47 71.61
Fractional coordinates of all 13 atoms:
Dy: 0.0000 0.0000 0.0000
Al: 0.2884 0.2249 0.2149
Al: 0.7116 0.7751 0.7851
Al: 0.0000 0.5000 0.0000
Al: 0.6539 0.3538 0.3526
Al: 0.4967 0.7751 0.2149
Al: 0.5000 0.0000 0.5000
Al: 0.3461 0.6462 0.6474
Al: 0.0064 0.3538 0.6474
Al: 0.0000 0.0000 0.5000
Al: 0.5033 0.2249 0.7851
Al: 0.9936 0.6462 0.3526
Cu: 0.5000 0.5000 0.0000

=====

Entry 12:
Density functional theory data (PBE-GGA) for a geometry-optimized Pr4CdSnHg2 structure.

## Properties
Symmetry = No. 166
Calculated formation energy = -0.499 eV per atom

abc: 5.4762 5.4762 9.5915
angles: 73.41 73.41 60.00
Fractional coordinates of all 8 atoms:
Hg: 0.2585 0.2585 0.2245
Hg: 0.7415 0.7415 0.7755
Pr: 0.3776 0.3776 0.8673
Pr: 0.8735 0.8735 0.3796
Pr: 0.1265 0.1265 0.6204
Pr: 0.6224 0.6224 0.1327
Cd: 0.0000 0.0000 0.0000
Sn: 0.5000 0.5000 0.5000